Here is a relaxed InPt crystal from the Open Quantum Materials Database. Energies are from PBE.

As for the raw total energy: -4.65 eV per atom.

The structure belongs to space group Fm-3m (No. 225); the cell edges are 5.489, 5.489 and 5.489 Å and the angles 90.00°, 90.00° and 90.00°. Symmetry generates all atoms from In at (0.000, 0.000, 0.000) and Pt at (0.000, 0.000, 0.500).

---

Here is a relaxed KTbHfTe3 crystal from the Open Quantum Materials Database. Energies are from PBE.

As for the raw total energy: -5.18 eV per atom.

The structure belongs to space group P2_1/m (No. 11); the cell edges are 9.639, 4.475 and 10.507 Å and the angles 90.00°, 108.66° and 90.00°. Symmetry generates all atoms from K at (0.202, 0.250, 0.233), Tb at (0.337, 0.750, 0.863), Hf at (0.086, 0.250, 0.601), Te at (0.110, 0.250, 0.873), Te at (0.229, 0.750, 0.533) and Te at (0.458, 0.750, 0.171).

---

Here is a relaxed GaCoNiHg crystal from the Open Quantum Materials Database. Energies are from PBE.

As for the raw total energy: -3.72 eV per atom.

The structure belongs to space group F-43m (No. 216); the cell edges are 6.114, 6.114 and 6.114 Å and the angles 90.00°, 90.00° and 90.00°. Symmetry generates all atoms from Ga at (0.000, 0.000, 0.000), Co at (0.250, 0.250, 0.250), Ni at (0.000, 0.000, 0.500) and Hg at (0.250, 0.250, 0.750).

---

Here is a relaxed In2Hg2Pb3 crystal from the Open Quantum Materials Database. Energies are from PBE.

As for the raw total energy: -2.37 eV per atom.

The structure belongs to space group R3m (No. 160, hexagonal axes); the cell edges are 5.3181, 5.3181 and 25.5549 Å and the angles 90.00°, 90.00° and 120.00°. Symmetry generates all atoms from In at (0.0000, 0.0000, 0.0000), In at (0.0000, 0.0000, 0.4863), Hg at (0.0000, 0.0000, 0.2299), Hg at (0.0000, 0.0000, 0.7485), Pb at (0.0000, 0.0000, 0.3642), Pb at (0.0000, 0.0000, 0.6167) and Pb at (0.0000, 0.0000, 0.8696).

---

Here is a relaxed Dy2TmTl3PtAu2 crystal from the Open Quantum Materials Database. Energies are from PBE.

As for the raw total energy: -4.34 eV per atom.

The structure belongs to space group Amm2 (No. 38); the cell edges are 3.895, 13.508 and 7.816 Å and the angles 90.00°, 90.00° and 90.00°. Symmetry generates all atoms from Dy at (0.000, 0.199, 0.000), Tm at (0.000, 0.000, 0.404), Tl at (0.500, 0.000, 0.063), Tl at (0.500, 0.132, 0.670), Pt at (0.000, 0.000, 0.798) and Au at (0.500, 0.165, 0.302).

---

Here is a relaxed LuFe crystal from the Open Quantum Materials Database. Energies are from PBE.

The formation energy comes out at 0.389 eV/atom.

The structure belongs to space group P-6m2 (No. 187); the cell edges are 3.3482, 3.3482 and 3.9674 Å and the angles 90.00°, 90.00° and 120.00°. Symmetry generates all atoms from Lu at (0.0000, 0.0000, 0.0000) and Fe at (0.3333, 0.6667, 0.5000).

---

Here is a relaxed Si3GeIr4 crystal from the Open Quantum Materials Database. Energies are from PBE.

As for the raw total energy: -7.63 eV per atom.

The structure belongs to space group Pm (No. 6); the cell edges are 5.607, 3.325 and 6.345 Å and the angles 90.00°, 90.10° and 90.00°. Symmetry generates all atoms from Si at (0.000, 0.000, 0.000), Si at (0.130, 0.500, 0.501), Si at (0.496, 0.000, 0.630), Ge at (0.628, 0.500, 0.131), Ir at (0.307, 0.500, 0.854), Ir at (0.311, 0.000, 0.276), Ir at (0.811, 0.500, 0.767) and Ir at (0.820, 0.000, 0.369).

---

Here is a relaxed BaTcB4 crystal from the Open Quantum Materials Database. Energies are from PBE.

As for the raw total energy: -6.39 eV per atom.

The structure belongs to space group P6/mmm (No. 191); the cell edges are 3.1336, 3.1336 and 8.1521 Å and the angles 90.00°, 90.00° and 120.00°. Symmetry generates all atoms from Ba at (0.0000, 0.0000, 0.0000), Tc at (0.0000, 0.0000, 0.5000) and B at (0.3333, 0.6667, 0.3041).

---

Here is a relaxed Co2SeS3 crystal from the Open Quantum Materials Database. Energies are from PBE.

As for the raw total energy: -5.16 eV per atom.

The structure belongs to space group Cm (No. 8); the cell edges are 18.674, 3.281 and 5.513 Å and the angles 90.00°, 90.36° and 90.00°. Symmetry generates all atoms from Co at (0.000, 0.000, 0.000), Co at (0.000, 0.500, 0.425), Se at (0.426, 0.500, 0.643), S at (0.054, 0.000, 0.634), S at (0.073, 0.500, 0.116) and S at (0.423, 0.000, 0.107).

---

Here is a relaxed TmPtO3 crystal from the Open Quantum Materials Database. Energies are from PBE.

As for the raw total energy: -7.00 eV per atom.

The structure belongs to space group Pnma (No. 62); the cell edges are 5.487, 8.721 and 5.042 Å and the angles 90.00°, 90.00° and 90.00°. Symmetry generates all atoms from Tm at (0.076, 0.250, 0.031), Pt at (0.000, 0.000, 0.500), O at (0.046, 0.750, 0.378) and O at (0.203, 0.587, 0.808).

---

Here is a relaxed NaZnHCO4 crystal from the Open Quantum Materials Database. Energies are from PBE.

As for the raw total energy: -5.85 eV per atom.

The structure belongs to space group Pc (No. 7); the cell edges are 3.339, 5.422 and 9.224 Å and the angles 90.00°, 97.76° and 90.00°. Symmetry generates all atoms from Na at (0.000, 0.173, 0.000), Zn at (0.567, 0.339, 0.617), H at (0.176, 0.081, 0.746), C at (0.532, 0.284, 0.325), O at (0.081, 0.177, 0.656), O at (0.455, 0.071, 0.377), O at (0.545, 0.310, 0.185) and O at (0.595, 0.474, 0.411).

---

Here is a relaxed AcDyO3 crystal from the Open Quantum Materials Database. Energies are from PBE.

As for the raw total energy: -8.12 eV per atom.

The structure belongs to space group R-3c (No. 167, hexagonal axes); the cell edges are 6.1333, 6.1333 and 14.6688 Å and the angles 90.00°, 90.00° and 120.00°. Symmetry generates all atoms from Ac at (0.0000, 0.0000, 0.2500), Dy at (0.0000, 0.0000, 0.0000) and O at (0.0000, 0.3943, 0.2500).

---

Computed calculated volume (Å³ per cell) in order:
165, 429, 229, 626, 411, 39, 118, 69, 338, 241, 165, 478